<1>
First-principles (GGA-PBE) data for NdHoHg4 after structural relaxation, as listed in Alexandria via LeMat-Bulk.

```
NdHoHg4
1.0
3.736 0.000 1.081
2.052 5.279 -0.096
-0.281 -1.443 7.971
Nd Ho Hg
1 1 4
direct
0.500 0.500 0.500 Nd
0.000 0.000 0.000 Ho
0.825 0.507 0.843 Hg
0.344 0.989 0.323 Hg
0.175 0.493 0.157 Hg
0.656 0.011 0.677 Hg
```

## Properties
Spin magnetization   0.000 μB/cell

---

<2>
First-principles (GGA-PBE) data for NdHoHg4 after structural relaxation, as listed in Alexandria via LeMat-Bulk.

```
NdHoHg4
1.0
-4.510 2.267 3.220
-5.508 -2.285 -0.539
-2.373 -3.181 4.483
Nd Hg Ho
1 4 1
direct
0.250 0.250 0.250 Nd
0.625 0.625 0.125 Hg
0.625 0.125 0.625 Hg
0.625 0.625 0.625 Hg
0.125 0.625 0.625 Hg
0.000 0.000 0.000 Ho
```

## Properties
Spin magnetization   0.000 μB/cell

---

<3>
First-principles (GGA-PBE) data for NdHoHg4 after structural relaxation, as listed in Alexandria via LeMat-Bulk.

```
NdHoHg4
1.0
4.536 0.000 -0.001
0.000 4.550 -0.001
0.003 0.006 8.658
Nd Ho Hg
1 1 4
direct
0.501 0.497 0.998 Nd
0.001 0.997 0.498 Ho
0.501 0.997 0.258 Hg
0.501 0.997 0.738 Hg
0.001 0.497 0.737 Hg
0.001 0.497 0.259 Hg
```

## Properties
Spin magnetization   0.000 μB/cell

---

Going by the computed energies, the most stable comes first: <1>, <2>, <3>.